Record 1
Computed, not measured: a relaxed ReBrCl2 crystal at the PBE level of DFT.

## Properties
Formation energy without anion corrections = 1150.7 meV per atom
E = -3.303 eV per atom
V = 22.531 Å³/atom
Magnetization = 4.17 Bohr magnetons per cell
D(E_F) = 0.52 states/eV per atom

a b c (Å): 3.2156 4.4706 6.2693
angles (deg): 90.00 90.00 90.00
With the nearest neighbours (Å) after each atom.
Space group Pmmm (No. 47)
Unique sites:
1 Re 0.0000 0.0000 0.0000  4 Cl 2.75
2 Br 0.5000 0.0000 0.5000  4 Cl 2.75
3 Cl 0.0000 0.5000 0.5000  4 Br 2.75
4 Cl 0.5000 0.5000 0.0000  4 Re 2.75



Record 2
Computed, not measured: a relaxed ErZnCo crystal at the PBE level of DFT.

## Properties
E_form = -0.21 eV/atom
E = -4.522 eV per atom
V = 17.933 Å³/atom
Magnetization = 0.25 Bohr magnetons per cell
D(E_F) = 0.69 states/eV per atom

a b c (Å): 4.1955 4.1955 3.5293
angles (deg): 90.00 90.00 120.00
With the nearest neighbours (Å) after each atom.
Space group P-6m2 (No. 187)
Unique sites:
1 Er 0.0000 0.0000 0.0000  6 Co 3.00, 6 Zn 3.00
2 Zn 0.3333 0.6667 0.5000  3 Co 2.42
3 Co 0.6667 0.3333 0.5000  3 Zn 2.42



Record 3
Computed, not measured: a relaxed Ce2BiCl crystal at the PBE level of DFT.

## Properties
Formation energy without anion corrections = -936.3 meV per atom
E = -5.335 eV per atom
V = 30.011 Å³/atom
Magnetization = 8.45 Bohr magnetons per cell
D(E_F) = 3.44 states/eV per atom

a b c (Å): 4.2116 4.2116 23.4448
angles (deg): 90.00 90.00 120.00
With the nearest neighbours (Å) after each atom.
Space group R3m (No. 160, hexagonal axes)
Unique sites:
1 Ce 0.0000 0.0000 0.0000  3 Cl 3.10, 3 Bi 3.18
2 Ce 0.0000 0.0000 0.1602  3 Cl 3.05, 3 Bi 3.16
3 Bi 0.0000 0.0000 0.5793  6 Ce 3.16-3.18
4 Cl 0.0000 0.0000 0.7486  6 Ce 3.05-3.10



- E of number 1 (ReBrCl2)?
  -3.303 eV per atom



- The highest magnetization belongs to which entry?
  Ce2BiCl



- Look up the E of the first one.
  -3.303 eV per atom



Copy entry 3 word for word.
Computed, not measured: a relaxed Ce2BiCl crystal at the PBE level of DFT.

## Properties
Formation energy without anion corrections = -936.3 meV per atom
E = -5.335 eV per atom
V = 30.011 Å³/atom
Magnetization = 8.45 Bohr magnetons per cell
D(E_F) = 3.44 states/eV per atom

a b c (Å): 4.2116 4.2116 23.4448
angles (deg): 90.00 90.00 120.00
With the nearest neighbours (Å) after each atom.
Space group R3m (No. 160, hexagonal axes)
Unique sites:
1 Ce 0.0000 0.0000 0.0000  3 Cl 3.10, 3 Bi 3.18
2 Ce 0.0000 0.0000 0.1602  3 Cl 3.05, 3 Bi 3.16
3 Bi 0.0000 0.0000 0.5793  6 Ce 3.16-3.18
4 Cl 0.0000 0.0000 0.7486  6 Ce 3.05-3.10